The following is a DFT calculation (GGA-PBE) of a geometry-optimized ScRuN3 structure.

The structure belongs to space group Pm-3m (No. 221); the cell edges are 3.833, 3.833 and 3.833 Å and the angles 90.00°, 90.00° and 90.00°. The inequivalent atoms are Sc at (0.000, 0.000, 0.000), Ru at (0.500, 0.500, 0.500) and N at (0.000, 0.500, 0.500).

The calculation puts the final energy at -38.86 eV per cell. The value obtained for the density of states at the Fermi level is 3.58 states/eV/f.u. As for the energy relative to the elements, uncorrected: 346 meV/atom. The total magnetic moment comes out at 0.000 μB/atom.

=====

The following is a DFT calculation (GGA-PBE) of a geometry-optimized ReRhCl2 structure.

The structure belongs to space group F-43m (No. 216); the cell edges are 6.400, 6.400 and 6.400 Å and the angles 90.00°, 90.00° and 90.00°. The inequivalent atoms are Re at (0.000, 0.000, 0.000), Rh at (0.250, 0.250, 0.250), Cl at (0.000, 0.000, 0.500) and Cl at (0.250, 0.250, 0.750).

The calculation puts the final energy at -77.79 eV per cell. The value obtained for the density of states at the Fermi level is 1.14 states/eV/f.u. As for the energy relative to the elements, uncorrected: 1011 meV/atom. The total magnetic moment comes out at 0.489 μB/atom. The value obtained for the offset from the most stable computed form is 1041 meV/atom.

=====

The following is a DFT calculation (GGA-PBE) of a geometry-optimized CrSiPb structure.

The structure belongs to space group F-43m (No. 216); the cell edges are 6.350, 6.350 and 6.350 Å and the angles 90.00°, 90.00° and 90.00°. The inequivalent atoms are Cr at (0.000, 0.000, 0.000), Si at (0.250, 0.250, 0.750) and Pb at (0.250, 0.250, 0.250).

The calculation puts the final energy at -68.67 eV per cell. The value obtained for the density of states at the Fermi level is 1.72 states/eV/f.u. As for the energy relative to the elements, uncorrected: 529 meV/atom. The total magnetic moment comes out at 1.146 μB/atom. The value obtained for the offset from the most stable computed form is 170 meV/atom.